P) TaV2Fe2 (PBE-GGA, relaxed); space group = P4/mbm; size of the total moment = 0.00 μB per formula unit; density of states at the Fermi level = 11.36 states/eV per cell
1.0
6.966 0.000 0.000
0.000 6.966 0.000
0.000 0.000 2.709
Ta Fe V
2 4 4
Direct
0.000 0.000 0.000
0.500 0.500 0.000
0.148 0.648 0.500
0.648 0.852 0.500
0.852 0.352 0.500
0.352 0.148 0.500
0.351 0.851 0.000
0.851 0.649 0.000
0.649 0.149 0.000
0.149 0.351 0.000

Q) TaV2Fe2 (PBE-GGA, relaxed); space group = P4/mbm; size of the total moment = 0.00 μB per formula unit; density of states at the Fermi level = 15.66 states/eV per cell
1.0
-4.205 2.692 4.741
2.214 -4.629 4.592
2.023 1.757 0.796
Ta Fe V
2 4 4
Direct
0.000 0.000 0.000
0.500 0.500 0.000
0.364 0.864 0.000
0.864 0.636 0.000
0.636 0.136 0.000
0.136 0.364 0.000
0.158 0.658 0.500
0.658 0.842 0.500
0.842 0.342 0.500
0.342 0.158 0.500

Stability verdict: Q), ahead by 2.2 kJ/mol of atoms

P) TaFeW2 (PBE-GGA, relaxed); space group = P4/mmm; size of the total moment = 1.99 μB per formula unit; density of states at the Fermi level = 3.36 states/eV per cell
1.0
4.463 0.000 0.000
0.000 3.757 0.000
0.000 0.000 3.757
Fe Ta W
1 1 2
Direct
0.500 0.500 0.000
0.500 0.000 0.500
0.000 0.000 0.000
0.000 0.500 0.500

Q) TaFeW2 (PBE-GGA, relaxed); space group = C2/m; size of the total moment = 1.74 μB per formula unit; density of states at the Fermi level = 2.66 states/eV per cell
1.0
-4.521 -2.264 1.087
1.804 -0.587 -4.884
0.785 -2.617 0.093
Fe Ta W
1 1 2
Direct
0.000 0.500 0.500
0.500 0.500 0.000
0.000 0.000 0.000
0.500 0.000 0.500

Stability verdict: Q), ahead by 12.1 kJ/mol of atoms

P) TaFeW2 (PBE-GGA, relaxed); space group = R-3m; size of the total moment = 1.22 μB per formula unit; density of states at the Fermi level = 4.19 states/eV per cell
1.0
-7.938 -1.434 -4.558
-7.270 -4.117 -4.004
-8.651 -2.582 -2.083
Fe Ta W
1 1 2
Direct
0.250 0.250 0.250
0.750 0.750 0.750
0.992 0.992 0.992
0.508 0.508 0.508

Q) TaFeW2 (PBE-GGA, relaxed); space group = F-43m; size of the total moment = 1.23 μB per formula unit; density of states at the Fermi level = 3.45 states/eV per cell
1.0
4.441 0.000 0.000
2.220 3.846 0.000
2.220 1.282 3.626
Fe Ta W
1 1 2
Direct
0.500 0.500 0.500
0.750 0.750 0.750
0.000 0.000 0.000
0.250 0.250 0.250

Stability verdict: Q), ahead by 30.7 kJ/mol of atoms

P) TaFeW (PBE-GGA, relaxed); space group = Fddd; size of the total moment = 0.00 μB per formula unit; density of states at the Fermi level = 13.51 states/eV per cell
1.0
-2.986 -3.462 1.906
1.665 -4.579 0.727
1.019 0.431 8.814
W Fe Ta
4 4 4
Direct
0.169 0.500 0.661
0.331 0.500 0.339
0.581 0.000 0.839
0.419 0.000 0.161
0.628 0.500 0.744
0.872 0.500 0.256
0.122 0.000 0.756
0.878 0.000 0.244
0.921 0.157 0.500
0.579 0.843 0.500
0.829 0.343 0.000
0.171 0.657 0.000

Q) TaFeW (PBE-GGA, relaxed); space group = P3m1; size of the total moment = 1.90 μB per formula unit; density of states at the Fermi level = 3.21 states/eV per cell
1.0
-3.422 2.131 1.920
-0.044 -0.789 -4.395
-1.218 -2.346 0.433
Fe Ta W
1 1 1
Direct
0.000 0.000 0.992
0.333 0.667 0.314
0.667 0.333 0.694

R) TaFeW (PBE-GGA, relaxed); space group = I4mm; size of the total moment = 1.45 μB per formula unit; density of states at the Fermi level = 3.34 states/eV per cell
1.0
-3.034 -2.419 3.355
1.246 -3.660 3.372
1.341 4.599 -1.836
Fe Ta W
1 1 1
Direct
0.003 0.003 0.000
0.339 0.339 0.000
0.658 0.658 0.000

Stability verdict: P), ahead by 8.8 kJ/mol of atoms